[1]
A relaxed HoTmSi crystal, computed with PBE-GGA.

abc: 6.072 7.850 6.311
angles: 90.05 90.00 90.13
Element x y z (fractional)
Ho1 0.875 0.102 0.752
Ho2 0.384 0.252 0.500
Ho3 0.125 0.898 0.248
Ho4 0.616 0.748 0.500
Si1 0.693 0.056 0.248
Si2 0.302 0.557 0.248
Si3 0.307 0.944 0.752
Si4 0.698 0.443 0.752
Tm1 0.384 0.252 0.000
Tm2 0.876 0.396 0.248
Tm3 0.616 0.748 0.000
Tm4 0.124 0.604 0.752

Summary:
**Offset from the most stable computed form**: 0 meV/atom
**Electronic total energy**: -5.367 eV per atom
**Volume**: 25.07 A^3/atom
**Crystal system**: triclinic
**M_tot**: 0.00 μB/f.u.
**DOS at the Fermi energy**: 0.527 states/eV/atom
**Formation energy without anion corrections**: -52.4 kJ per mole of atoms


[2]
A relaxed SrZnIr crystal, computed with PBE-GGA.

abc: 5.935 5.934 3.452
angles: 73.10 73.09 33.82
Element x y z (fractional)
Zn1 0.619 0.619 0.381
Sr1 0.340 0.340 0.660
Ir1 0.041 0.041 0.959

Summary:
**Electronic total energy**: -4.034 eV per atom
**Volume**: 21.49 A^3/atom
**ΔH_f (0 K)**: -0.29 eV per formula unit
**Crystal system**: tetragonal
**M_tot**: 0.00 μB/f.u.
**DOS at the Fermi energy**: 0.790 states/eV/atom


[3]
A relaxed CsNaHg crystal, computed with PBE-GGA.

abc: 6.070 6.070 6.070
angles: 60.00 60.00 60.00
Element x y z (fractional)
Hg1 0.250 0.250 0.250
Na1 0.500 0.500 0.500
Cs1 0.000 0.000 0.000

Summary:
**Offset from the most stable computed form**: 67 meV/atom
**Electronic total energy**: -0.926 eV per atom
**Volume**: 52.72 A^3/atom
**ΔH_f (0 K)**: -0.30 eV per formula unit
**Crystal system**: cubic
**M_tot**: 0.00 μB/f.u.
**DOS at the Fermi energy**: 0.301 states/eV/atom


[4]
A relaxed Pa2BeGePt6 crystal, computed with PBE-GGA.

abc: 6.433 6.433 6.433
angles: 60.00 60.00 90.00
Last column: magnetic moment on the atom in μB.
Element x y z (fractional)
Pt1 0.736 0.736 0.529  -0.03
Pt2 0.264 0.736 0.000  -0.03
Pt3 0.264 0.264 0.471  -0.03
Pt4 0.736 0.264 0.000  -0.03
Pt5 0.264 0.264 0.000  -0.03
Pt6 0.736 0.736 0.000  -0.03
Ge1 0.000 0.000 0.000  -0.01
Be1 0.500 0.500 0.000  -0.01
Pa1 0.250 0.750 0.500  0.78
Pa2 0.750 0.250 0.500  0.78

Summary:
**Electronic total energy**: -6.797 eV per atom
**Volume**: 18.82 A^3/atom
**ΔH_f (0 K)**: -4.39 eV per formula unit
**Crystal system**: cubic
**M_tot**: 1.51 μB/f.u.
**DOS at the Fermi energy**: 1.145 states/eV/atom